# 1
## Ca3Fe5H12 (PBE-GGA)

Data for a relaxed structure of Ca3Fe5H12.

Cell: 9.7189 9.7189 9.7189 Å, 109.47 109.47 109.47°
Closest atoms and distances in Å follow each position.
Element x y z (fractional)
1 H 0.6837 0.1049 0.0173  2 Fe 1.65-1.75
2 H 0.9124 0.0788 0.8951  2 Fe 1.65-1.75
3 Fe 0.8750 0.2500 0.6250  4 H 1.75
4 H 0.8336 0.9124 0.0173  2 Fe 1.65-1.75
5 H 0.1664 0.0876 0.9827  2 Fe 1.65-1.75
6 H 0.0876 0.9212 0.1049  2 Fe 1.65-1.75
7 H 0.1049 0.6837 0.5173  2 Fe 1.65-1.75
8 H 0.6664 0.1837 0.5788  2 Fe 1.65-1.75
9 Ca 0.8750 0.1250 0.2500  8 H 2.23-2.30
10 Fe 0.5000 0.5000 0.5000  6 H 1.65
11 H 0.9212 0.0876 0.6049  2 Fe 1.65-1.75
12 Fe 0.5000 0.5000 0.0000  6 H 1.65
13 H 0.0788 0.1664 0.1837  2 Fe 1.65-1.75
14 H 0.0173 0.4124 0.8336  2 Fe 1.65-1.75
15 Fe 0.0000 0.0000 0.0000  6 H 1.65
16 H 0.5173 0.3336 0.9124  2 Fe 1.65-1.75
17 H 0.6837 0.5788 0.1664  2 Fe 1.65-1.75
18 Fe 0.0000 0.5000 0.5000  6 H 1.65
19 Fe 0.6250 0.8750 0.2500  4 H 1.75
20 Fe 0.7500 0.6250 0.3750  4 H 1.75
21 Fe 0.2500 0.8750 0.1250  4 H 1.75
22 H 0.3336 0.5173 0.4124  2 Fe 1.65-1.75
23 Ca 0.1250 0.8750 0.7500  8 H 2.23-2.30
24 H 0.4212 0.3163 0.3336  2 Fe 1.65-1.75
25 Fe 0.5000 0.0000 0.5000  6 H 1.65
26 H 0.4212 0.1049 0.5876  2 Fe 1.65-1.75
27 H 0.3163 0.4212 0.8336  2 Fe 1.65-1.75
28 H 0.8951 0.5788 0.9124  2 Fe 1.65-1.75
29 Ca 0.7500 0.8750 0.6250  8 H 2.23-2.30
30 H 0.5788 0.8951 0.4124  2 Fe 1.65-1.75
31 H 0.6664 0.4827 0.5876  2 Fe 1.65-1.75
32 H 0.1664 0.0788 0.6837  2 Fe 1.65-1.75
33 Ca 0.7500 0.3750 0.1250  8 H 2.23-2.30
34 H 0.9827 0.5876 0.1664  2 Fe 1.65-1.75
35 H 0.0788 0.9124 0.3951  2 Fe 1.65-1.75
36 H 0.4124 0.0173 0.3336  2 Fe 1.65-1.75
37 H 0.8951 0.3163 0.4827  2 Fe 1.65-1.75
38 Ca 0.8750 0.7500 0.1250  8 H 2.23-2.30
39 H 0.6049 0.5876 0.9212  2 Fe 1.65-1.75
40 H 0.8163 0.3336 0.9212  2 Fe 1.65-1.75
41 H 0.4124 0.3951 0.5788  2 Fe 1.65-1.75
42 H 0.8163 0.4827 0.3951  2 Fe 1.65-1.75
43 Ca 0.3750 0.6250 0.2500  8 H 2.23-2.30
44 Fe 0.1250 0.7500 0.3750  4 H 1.75
45 H 0.9212 0.8336 0.8163  2 Fe 1.65-1.75
46 H 0.5788 0.6837 0.6664  2 Fe 1.65-1.75
47 H 0.0173 0.6049 0.6837  2 Fe 1.65-1.75
48 Fe 0.2500 0.3750 0.6250  4 H 1.75
49 Ca 0.2500 0.6250 0.8750  8 H 2.23-2.30
50 Ca 0.3750 0.7500 0.6250  8 H 2.23-2.30
51 H 0.3951 0.4124 0.0788  2 Fe 1.65-1.75
52 Ca 0.1250 0.2500 0.8750  8 H 2.23-2.30
53 H 0.4827 0.8163 0.8951  2 Fe 1.65-1.75
54 Fe 0.3750 0.2500 0.1250  4 H 1.75
55 H 0.9124 0.8336 0.5173  2 Fe 1.65-1.75
56 Ca 0.6250 0.2500 0.3750  8 H 2.23-2.30
57 Fe 0.3750 0.1250 0.7500  4 H 1.75
58 Fe 0.1250 0.3750 0.2500  4 H 1.75
59 Ca 0.6250 0.3750 0.7500  8 H 2.23-2.30
60 H 0.5876 0.6049 0.4212  2 Fe 1.65-1.75
61 H 0.8336 0.9212 0.3163  2 Fe 1.65-1.75
62 H 0.3163 0.8951 0.9827  2 Fe 1.65-1.75
63 Fe 0.6250 0.7500 0.8750  4 H 1.75
64 H 0.0876 0.1664 0.4827  2 Fe 1.65-1.75
65 Fe 0.0000 0.5000 0.0000  6 H 1.65
66 Fe 0.0000 0.0000 0.5000  6 H 1.65
67 H 0.1837 0.6664 0.0788  2 Fe 1.65-1.75
68 H 0.1837 0.5173 0.6049  2 Fe 1.65-1.75
69 H 0.5876 0.9827 0.6664  2 Fe 1.65-1.75
70 H 0.4827 0.6664 0.0876  2 Fe 1.65-1.75
71 H 0.3336 0.8163 0.4212  2 Fe 1.65-1.75
72 Fe 0.5000 0.0000 0.0000  6 H 1.65
73 Ca 0.2500 0.1250 0.3750  8 H 2.23-2.30
74 H 0.6049 0.0173 0.1837  2 Fe 1.65-1.75
75 H 0.9827 0.3951 0.3163  2 Fe 1.65-1.75
76 H 0.5173 0.1837 0.1049  2 Fe 1.65-1.75
77 H 0.1049 0.4212 0.0876  2 Fe 1.65-1.75
78 Fe 0.8750 0.6250 0.7500  4 H 1.75
79 H 0.3951 0.9827 0.8163  2 Fe 1.65-1.75
80 Fe 0.7500 0.1250 0.8750  4 H 1.75

Computed properties:
* mass density: 3.87 g cm⁻³
* final energy: -4.50 eV per atom

---

# 2
## Tb3PmSc5 (PBE-GGA)

Data for a relaxed structure of Tb3PmSc5.

Cell: 8.3187 8.3187 9.3097 Å, 116.54 116.54 90.00°
Closest atoms and distances in Å follow each position.
Element x y z (fractional)
1 Sc 0.3406 0.8406 0.2702  1 Tb 2.83, 1 Pm 2.93
2 Tb 0.8798 0.6202 0.0000  1 Tb 2.83, 2 Sc 2.83
3 Pm 0.7500 0.2500 0.5000  4 Sc 2.93
4 Tb 0.3798 0.8798 0.0000  1 Tb 2.83, 2 Sc 2.83
5 Tb 0.2500 0.2500 0.5000  10 Sc 3.42-3.61
6 Sc 0.4296 0.3406 0.2702  1 Tb 2.83, 1 Pm 2.93
7 Pm 0.2500 0.7500 0.5000  4 Sc 2.93
8 Sc 0.1594 0.0704 0.7298  1 Tb 2.83, 1 Pm 2.93
9 Sc 0.0704 0.5704 0.7298  1 Tb 2.83, 1 Pm 2.93
10 Tb 0.6202 0.1202 0.0000  1 Tb 2.83, 2 Sc 2.83
11 Sc 0.0000 0.0000 0.0000  6 Tb 3.31-3.61, 8 Sc 3.57
12 Sc 0.8406 0.9296 0.2702  1 Tb 2.83, 1 Pm 2.93
13 Sc 0.5000 0.5000 0.0000  6 Tb 3.31-3.61, 8 Sc 3.57
14 Sc 0.9296 0.4296 0.2702  1 Tb 2.83, 1 Pm 2.93
15 Tb 0.7500 0.7500 0.5000  10 Sc 3.42-3.61
16 Sc 0.6594 0.1594 0.7298  1 Tb 2.83, 1 Pm 2.93
17 Sc 0.5704 0.6594 0.7298  1 Tb 2.83, 1 Pm 2.93
18 Tb 0.1202 0.3798 0.0000  1 Tb 2.83, 2 Sc 2.83

Computed properties:
* E_form: 0.277 eV/atom
* mass density: 5.63 g cm⁻³

---

# 3
## SrBi2Pd6 (PBE-GGA)

Data for a relaxed structure of SrBi2Pd6.

Cell: 5.4377 5.9878 5.9878 Å, 74.95 84.49 84.49°
Closest atoms and distances in Å follow each position.
Element x y z (fractional)
1 Bi 0.7865 0.3804 0.3804  6 Pd 2.75-2.93
2 Pd 0.5000 0.8053 0.1947  5 Pd 2.77-2.84, 2 Bi 2.87, 2 Sr 3.07
3 Pd 0.7504 0.9099 0.5320  2 Bi 2.75-2.93, 5 Pd 2.75-2.97
4 Bi 0.2135 0.6196 0.6196  6 Pd 2.75-2.93
5 Pd 0.2496 0.0901 0.4680  2 Bi 2.75-2.93, 5 Pd 2.75-2.97
6 Pd 0.7504 0.5320 0.9099  2 Bi 2.75-2.93, 5 Pd 2.75-2.97
7 Pd 0.2496 0.4680 0.0901  2 Bi 2.75-2.93, 5 Pd 2.75-2.97
8 Sr 0.0000 0.0000 0.0000  12 Pd 3.07-3.41
9 Pd 0.5000 0.1947 0.8053  5 Pd 2.77-2.84, 2 Bi 2.87, 2 Sr 3.07

Computed properties:
* E_form: -0.295 eV/atom
* excess energy over the best structure of this formula in the dataset: 0 meV/atom
* mass density: 10.17 g cm⁻³

---

# 4
## SrTa2Se (PBE-GGA)

Data for a relaxed structure of SrTa2Se.

Cell: 3.3904 4.6468 5.8409 Å, 90.00 90.00 90.00°
Closest atoms and distances in Å follow each position.
Element x y z (fractional)
1 Ta 0.0000 0.0000 0.0000  4 Ta 2.88
2 Ta 0.5000 0.5000 0.0000  4 Ta 2.88
3 Se 0.5000 0.0000 0.5000  4 Sr 2.88
4 Sr 0.0000 0.5000 0.5000  4 Se 2.88

Computed properties:
* mass density: 9.54 g cm⁻³
* E_form (uncorrected): 0.42 eV/atom

---

# 5
## Na4U3ReN8 (PBE-GGA)

Data for a relaxed structure of Na4U3ReN8.

Cell: 6.7376 6.9029 6.7376 Å, 119.22 120.00 90.00°
Closest atoms and distances in Å follow each position.
Element x y z (fractional)
1 N 0.7719 0.3130 0.5437  1 Re 2.21, 2 U 2.22
2 N 0.2282 0.6870 0.9590  1 Re 2.21, 2 U 2.22
3 Re 0.0000 0.5000 0.0000  6 N 2.21
4 N 0.2692 0.3130 0.0410  1 Re 2.21, 2 U 2.22
5 U 0.0000 0.5000 0.5000  6 N 2.22-2.23
6 U 0.5000 0.5000 0.0000  6 N 2.22-2.23
7 U 0.5000 0.5000 0.5000  6 N 2.22-2.23
8 N 0.2700 0.3101 0.5400  3 U 2.23
9 Na 0.5000 0.0000 0.0000  6 N 2.65
10 N 0.7300 0.6899 0.4600  3 U 2.23
11 N 0.2281 0.6870 0.4563  1 Re 2.21, 2 U 2.22
12 Na 0.0000 0.0000 0.0000  6 N 2.63-2.64
13 Na 0.5000 0.0000 0.5000  6 N 2.63-2.64
14 Na 0.0000 0.0000 0.5000  6 N 2.63-2.64
15 N 0.7718 0.3130 0.0410  1 Re 2.21, 2 U 2.22
16 N 0.7308 0.6870 0.9590  1 Re 2.21, 2 U 2.22

Computed properties:
* mass density: 8.18 g cm⁻³
* E_form (uncorrected): -0.78 eV/atom

---

# 6
## BaTc2Pt (PBE-GGA)

Data for a relaxed structure of BaTc2Pt.

Cell: 5.9059 5.9059 2.8613 Å, 79.57 79.57 122.12°
Closest atoms and distances in Å follow each position.
Element x y z (fractional)
1 Pt 0.0000 0.5000 0.5000  4 Ba 2.86-3.20, 2 Pt 2.86, 4 Tc 3.04
2 Tc 0.0000 0.0000 0.0000  6 Tc 2.86-3.20, 2 Pt 3.04, 2 Ba 3.04
3 Tc 0.5000 0.5000 0.0000  6 Tc 2.86-3.20, 2 Ba 3.04, 2 Pt 3.04
4 Ba 0.5000 0.0000 0.5000  4 Pt 2.86-3.20, 2 Ba 2.86, 4 Tc 3.04

Computed properties:
* E_form: 0.976 eV/atom
* excess energy over the best structure of this formula in the dataset: 781 meV/atom
* mass density: 11.19 g cm⁻³

---

# 7
## Ba2UGeS5 (PBE-GGA)

Data for a relaxed structure of Ba2UGeS5.

Cell: 4.2593 9.2279 13.2602 Å, 90.00 90.00 103.34°
Closest atoms and distances in Å follow each position.
Element x y z (fractional)
1 S 0.6428 0.2856 0.4940  1 U 2.65
2 Ba 0.8678 0.7356 0.8061  7 S 3.16-3.46
3 Ba 0.9001 0.8003 0.1736  6 S 3.12-3.37
4 S 0.6787 0.3573 0.8921  1 Ge 2.52, 2 U 2.81
5 S 0.3213 0.6427 0.3921  1 Ge 2.52, 2 U 2.81
6 Ge 0.4553 0.9106 0.4483  4 S 2.51-2.63
7 S 0.2761 0.5521 0.6559  2 U 2.78
8 S 0.5045 0.0090 0.2708  1 Ge 2.51
9 S 0.3572 0.7144 0.9940  1 U 2.65
10 Ba 0.0999 0.1997 0.6736  6 S 3.12-3.37
11 Ba 0.1322 0.2644 0.3061  7 S 3.16-3.46
12 Ge 0.5447 0.0894 0.9483  4 S 2.51-2.63
13 U 0.7888 0.5775 0.5228  6 S 2.61-2.81
14 S 0.9317 0.8634 0.5604  1 U 2.61, 2 Ge 2.63
15 S 0.4955 0.9910 0.7708  1 Ge 2.51
16 U 0.2112 0.4225 0.0228  6 S 2.61-2.81
17 S 0.0683 0.1366 0.0604  1 U 2.61, 2 Ge 2.63
18 S 0.7239 0.4479 0.1559  2 U 2.78

Computed properties:
* mass density: 4.88 g cm⁻³
* E_form (uncorrected): -1.42 eV/atom

---

# 8
## Er2BeAg (PBE-GGA)

Data for a relaxed structure of Er2BeAg.

Cell: 3.4588 3.4588 7.0958 Å, 90.00 90.00 90.00°
Closest atoms and distances in Å follow each position.
Element x y z (fractional)
1 Er 0.0000 0.0000 0.7712  4 Be 2.94, 4 Ag 3.11, 1 Er 3.25
2 Be 0.5000 0.5000 0.0000  8 Er 2.94
3 Ag 0.5000 0.5000 0.5000  8 Er 3.11, 4 Ag 3.46
4 Er 0.0000 0.0000 0.2288  4 Be 2.94, 4 Ag 3.11, 1 Er 3.25

Computed properties:
* E_form: -0.128 eV/atom
* excess energy over the best structure of this formula in the dataset: 0 meV/atom
* mass density: 8.83 g cm⁻³

---

# 9
## Ba2SnHg4Au3 (PBE-GGA)

Data for a relaxed structure of Ba2SnHg4Au3.

Cell: 4.6664 4.6664 12.7863 Å, 90.00 90.00 90.00°
Closest atoms and distances in Å follow each position.
Element x y z (fractional)
1 Ba 0.5000 0.0000 0.2447  4 Au 3.56, 8 Hg 3.61-3.90
2 Au 0.5000 0.0000 0.8596  5 Hg 2.81-2.94
3 Hg 0.0000 0.0000 0.0000  4 Au 2.94
4 Ba 0.0000 0.5000 0.7553  4 Au 3.56, 8 Hg 3.61-3.90
5 Hg 0.5000 0.5000 0.0000  4 Au 2.94
6 Hg 0.0000 0.5000 0.3599  3 Au 2.81-2.94, 2 Sn 2.94
7 Au 0.0000 0.0000 0.5000  4 Hg 2.94
8 Hg 0.5000 0.0000 0.6401  3 Au 2.81-2.94, 2 Sn 2.94
9 Sn 0.5000 0.5000 0.5000  4 Hg 2.94
10 Au 0.0000 0.5000 0.1404  5 Hg 2.81-2.94

Computed properties:
* E_form: -0.424 eV/atom
* mass density: 10.66 g cm⁻³

---

# 10
## Ga2SnGe (PBE-GGA)

Data for a relaxed structure of Ga2SnGe.

Cell: 6.0498 6.0498 7.2962 Å, 65.51 65.51 90.00°
Closest atoms and distances in Å follow each position.
Element x y z (fractional)
1 Ga 0.5918 0.1250 0.2500  2 Ge 2.49, 2 Sn 2.72
2 Ga 0.8750 0.8418 0.7500  2 Ge 2.49, 2 Sn 2.72
3 Sn 0.0000 0.0000 0.0000  4 Ga 2.72
4 Ga 0.1582 0.6250 0.2500  2 Ge 2.49, 2 Sn 2.72
5 Sn 0.7500 0.2500 0.5000  4 Ga 2.72
6 Ge 0.5000 0.5000 0.0000  4 Ga 2.49
7 Ga 0.3750 0.4082 0.7500  2 Ge 2.49, 2 Sn 2.72
8 Ge 0.2500 0.7500 0.5000  4 Ga 2.49

Computed properties:
* E_form: 0.145 eV/atom
* mass density: 5.08 g cm⁻³

---

# 11
## MnIn2Rh (PBE-GGA)

Data for a relaxed structure of MnIn2Rh.

Cell: 4.6906 4.6906 3.1727 Å, 90.01 90.01 96.83°
Closest atoms and distances in Å follow each position.
Element x y z (fractional)
1 Mn 0.5000 0.0000 0.5000  8 In 2.83, 2 Rh 3.11
2 Rh 0.0000 0.5000 0.5000  8 In 2.83, 2 Mn 3.11
3 In 0.5000 0.5000 0.0000  4 Rh 2.83, 4 Mn 2.83, 2 In 3.11
4 In 0.0000 0.0000 0.0000  4 Mn 2.83, 4 Rh 2.83, 2 In 3.11

Computed properties:
* E_form: -0.052 eV/atom
* mass density: 9.28 g cm⁻³

---

# 12
## Ba6LiPtAu (PBE-GGA)

Data for a relaxed structure of Ba6LiPtAu.

Cell: 8.2741 8.2741 7.7733 Å, 90.00 90.00 60.00°
Closest atoms and distances in Å follow each position.
Element x y z (fractional)
1 Ba 0.6365 0.0117 0.2672  1 Pt 3.16, 1 Au 3.28
2 Au 0.6666 0.6667 0.5000  6 Ba 3.28
3 Ba 0.0116 0.6365 0.7328  1 Pt 3.16, 1 Au 3.28
4 Pt 0.3333 0.3333 0.5000  6 Ba 3.16
5 Ba 0.6364 0.3518 0.7327  1 Pt 3.16, 1 Au 3.28
6 Ba 0.3517 0.0118 0.7328  1 Pt 3.16, 1 Au 3.28
7 Li 0.0000 0.0000 0.0000  6 Ba 3.62
8 Ba 0.0118 0.3518 0.2672  1 Pt 3.16, 1 Au 3.28
9 Ba 0.3518 0.6364 0.2672  1 Pt 3.16, 1 Au 3.28

Computed properties:
* E_form: -0.359 eV/atom
* mass density: 4.41 g cm⁻³

---

Among the records above, which one has the lowest mass density?
Ca3Fe5H12

---

Among the records above, which one has the highest mass density?
BaTc2Pt